# 1
{"formula": "MnInPCl2", "functional": "SCAN", "state": "single point on PBEsol structure", "lattice_angstrom": [[4.808, 0.000, 0.000], [0.000, 4.808, 0.000], [0.000, 0.000, 4.610]], "species": ["Mn", "In", "P", "Cl", "Cl"], "fractional_positions": [[0.000, 0.000, 0.000], [0.500, 0.500, 0.500], [0.000, 0.000, 0.500], [0.000, 0.500, 0.000], [0.500, 0.000, 0.000]], "spacegroup": "P4/mmm", "e_form_raw_ev_per_atom": -0.46, "polymorph_energy_mev_per_atom": 0}

# 2
{"formula": "CaTa2As", "functional": "SCAN", "state": "single point on PBEsol structure", "lattice_angstrom": [[-1.996, 1.996, 4.786], [1.996, -1.996, 4.786], [1.996, 1.996, -4.786]], "species": ["Ca", "Ta", "Ta", "As"], "fractional_positions": [[0.000, 0.000, 0.000], [0.250, 0.750, 0.500], [0.750, 0.250, 0.500], [0.500, 0.500, 0.000]], "spacegroup": "I4/mmm", "e_form_mev_per_atom": 319}

# 3
{"formula": "VZnBiO5", "functional": "SCAN", "state": "single point on PBEsol structure", "lattice_angstrom": [[5.467, 0.000, 0.000], [0.000, 15.053, 0.000], [0.000, 0.000, 10.704]], "species": ["V", "V", "V", "V", "V", "V", "V", "V", "Zn", "Zn", "Zn", "Zn", "Zn", "Zn", "Zn", "Zn", "Bi", "Bi", "Bi", "Bi", "Bi", "Bi", "Bi", "Bi", "O", "O", "O", "O", "O", "O", "O", "O", "O", "O", "O", "O", "O", "O", "O", "O", "O", "O", "O", "O", "O", "O", "O", "O", "O", "O", "O", "O", "O", "O", "O", "O", "O", "O", "O", "O", "O", "O", "O", "O"], "fractional_positions": [[0.072, 0.090, 0.120], [0.072, 0.410, 0.620], [0.428, 0.590, 0.120], [0.428, 0.910, 0.620], [0.572, 0.090, 0.380], [0.572, 0.410, 0.880], [0.928, 0.590, 0.380], [0.928, 0.910, 0.880], [0.070, 0.537, 0.861], [0.070, 0.963, 0.361], [0.430, 0.037, 0.861], [0.430, 0.463, 0.361], [0.570, 0.537, 0.639], [0.570, 0.963, 0.139], [0.930, 0.037, 0.639], [0.930, 0.463, 0.139], [0.048, 0.231, 0.852], [0.048, 0.269, 0.352], [0.452, 0.731, 0.852], [0.452, 0.769, 0.352], [0.548, 0.231, 0.648], [0.548, 0.269, 0.148], [0.952, 0.731, 0.648], [0.952, 0.769, 0.148], [0.091, 0.509, 0.298], [0.091, 0.991, 0.798], [0.114, 0.662, 0.804], [0.114, 0.838, 0.304], [0.117, 0.638, 0.484], [0.117, 0.862, 0.984], [0.183, 0.545, 0.041], [0.183, 0.955, 0.541], [0.201, 0.175, 0.209], [0.201, 0.325, 0.709], [0.299, 0.675, 0.209], [0.299, 0.825, 0.709], [0.317, 0.045, 0.041], [0.317, 0.455, 0.541], [0.383, 0.138, 0.484], [0.383, 0.362, 0.984], [0.386, 0.162, 0.804], [0.386, 0.338, 0.304], [0.409, 0.009, 0.298], [0.409, 0.491, 0.798], [0.591, 0.509, 0.202], [0.591, 0.991, 0.702], [0.614, 0.662, 0.696], [0.614, 0.838, 0.196], [0.617, 0.638, 0.016], [0.617, 0.862, 0.516], [0.683, 0.545, 0.459], [0.683, 0.955, 0.959], [0.701, 0.175, 0.291], [0.701, 0.325, 0.791], [0.799, 0.675, 0.291], [0.799, 0.825, 0.791], [0.817, 0.045, 0.459], [0.817, 0.455, 0.959], [0.883, 0.138, 0.016], [0.883, 0.362, 0.516], [0.886, 0.162, 0.696], [0.886, 0.338, 0.196], [0.909, 0.009, 0.202], [0.909, 0.491, 0.702]], "spacegroup": "Pbca", "e_form_raw_ev_per_atom": -1.90, "polymorph_energy_mev_per_atom": 28}

# 4
{"formula": "RbP2BrO", "functional": "SCAN", "state": "single point on PBEsol structure", "lattice_angstrom": [[5.079, 0.000, 0.000], [0.000, 5.079, 0.000], [0.000, 0.000, 4.353]], "species": ["Rb", "P", "P", "Br", "O"], "fractional_positions": [[0.000, 0.000, 0.000], [0.000, 0.500, 0.500], [0.500, 0.000, 0.500], [0.500, 0.500, 0.500], [0.500, 0.500, 0.000]], "spacegroup": "P4/mmm", "e_form_raw_ev_per_atom": 0.81}

# 5
{"formula": "SiHgPCl2", "functional": "SCAN", "state": "single point on PBEsol structure", "lattice_angstrom": [[4.559, 0.000, 0.000], [0.000, 4.559, 0.000], [0.000, 0.000, 4.878]], "species": ["Si", "Hg", "P", "Cl", "Cl"], "fractional_positions": [[0.000, 0.000, 0.000], [0.500, 0.500, 0.500], [0.000, 0.000, 0.500], [0.000, 0.500, 0.000], [0.500, 0.000, 0.000]], "spacegroup": "P4/mmm", "e_form_raw_ev_per_atom": 0.05}

# 6
{"formula": "Li2ZrPPt", "functional": "SCAN", "state": "single point on PBEsol structure", "lattice_angstrom": [[4.298, 0.000, 0.000], [0.000, 4.298, 0.000], [0.000, 0.000, 4.492]], "species": ["Li", "Li", "Zr", "P", "Pt"], "fractional_positions": [[0.000, 0.500, 0.000], [0.500, 0.000, 0.000], [0.000, 0.000, 0.500], [0.500, 0.500, 0.000], [0.500, 0.500, 0.500]], "spacegroup": "P4/mmm", "e_form_mev_per_atom": -176}

# 7
{"formula": "KFeTe2I", "functional": "SCAN", "state": "single point on PBEsol structure", "lattice_angstrom": [[5.039, 0.000, 0.000], [0.000, 5.039, 0.000], [0.000, 0.000, 6.202]], "species": ["K", "Fe", "Te", "Te", "I"], "fractional_positions": [[0.000, 0.000, 0.000], [0.500, 0.500, 0.500], [0.000, 0.500, 0.500], [0.500, 0.000, 0.500], [0.500, 0.500, 0.000]], "spacegroup": "P4/mmm", "e_form_raw_ev_per_atom": -0.36}

# 8
{"formula": "SrLi2NbZn", "functional": "SCAN", "state": "single point on PBEsol structure", "lattice_angstrom": [[4.416, 0.000, 0.000], [0.000, 4.416, 0.000], [0.000, 0.000, 5.170]], "species": ["Sr", "Li", "Li", "Nb", "Zn"], "fractional_positions": [[0.000, 0.000, 0.000], [0.000, 0.500, 0.000], [0.500, 0.000, 0.000], [0.500, 0.500, 0.500], [0.000, 0.000, 0.500]], "spacegroup": "P4/mmm", "e_form_mev_per_atom": 1407}

# 9
{"formula": "TaCdTe2", "functional": "SCAN", "state": "single point on PBEsol structure", "lattice_angstrom": [[3.380, 0.000, 0.000], [0.000, 3.380, 0.000], [0.000, 0.000, 8.217]], "species": ["Ta", "Cd", "Te", "Te"], "fractional_positions": [[0.000, 0.000, 0.000], [0.000, 0.000, 0.500], [0.500, 0.500, 0.201], [0.500, 0.500, 0.799]], "spacegroup": "P4/mmm", "e_form_raw_ev_per_atom": 0.02}

# 10
{"formula": "Ca8Zn4Si3Ge5O28", "functional": "SCAN", "state": "single point on PBEsol structure", "lattice_angstrom": [[7.925, 0.000, 0.000], [0.002, 8.997, 0.000], [0.024, 3.745, 8.608]], "species": ["Ca", "Ca", "Ca", "Ca", "Ca", "Ca", "Ca", "Ca", "Zn", "Zn", "Zn", "Zn", "Si", "Si", "Si", "Ge", "Ge", "Ge", "Ge", "Ge", "O", "O", "O", "O", "O", "O", "O", "O", "O", "O", "O", "O", "O", "O", "O", "O", "O", "O", "O", "O", "O", "O", "O", "O", "O", "O", "O", "O"], "fractional_positions": [[0.000, 0.000, 0.000], [0.063, 0.499, 0.502], [0.203, 0.748, 0.735], [0.363, 0.349, 0.320], [0.499, 0.589, 0.558], [0.565, 0.094, 0.055], [0.703, 0.841, 0.828], [0.865, 0.248, 0.237], [0.192, 0.374, 0.919], [0.373, 0.719, 0.141], [0.694, 0.218, 0.643], [0.876, 0.873, 0.417], [0.011, 0.073, 0.611], [0.053, 0.574, 0.111], [0.511, 0.518, 0.948], [0.235, 0.919, 0.323], [0.327, 0.173, 0.735], [0.551, 0.018, 0.452], [0.736, 0.673, 0.236], [0.829, 0.419, 0.825], [0.006, 0.243, 0.461], [0.027, 0.506, 0.754], [0.037, 0.003, 0.250], [0.058, 0.743, 0.959], [0.105, 0.404, 0.097], [0.178, 0.581, 0.249], [0.206, 0.030, 0.687], [0.222, 0.175, 0.899], [0.236, 0.733, 0.484], [0.327, 0.359, 0.574], [0.342, 0.068, 0.372], [0.348, 0.918, 0.162], [0.386, 0.513, 0.809], [0.460, 0.686, 0.965], [0.505, 0.348, 0.098], [0.525, 0.086, 0.803], [0.538, 0.587, 0.305], [0.553, 0.836, 0.613], [0.610, 0.205, 0.456], [0.685, 0.013, 0.304], [0.708, 0.561, 0.876], [0.721, 0.417, 0.663], [0.737, 0.858, 0.074], [0.830, 0.233, 0.986], [0.842, 0.673, 0.400], [0.858, 0.531, 0.186], [0.885, 0.076, 0.750], [0.960, 0.904, 0.594]], "spacegroup": "P1", "e_form_raw_ev_per_atom": -2.62}

# 11
{"formula": "BaZr2", "functional": "SCAN", "state": "single point on PBEsol structure", "lattice_angstrom": [[-1.896, 1.896, 6.337], [1.896, -1.896, 6.337], [1.896, 1.896, -6.337]], "species": ["Ba", "Zr", "Zr"], "fractional_positions": [[0.000, 0.000, 0.000], [0.293, 0.293, 0.000], [0.707, 0.707, 0.000]], "spacegroup": "I4/mmm", "e_form_mev_per_atom": 572, "polymorph_energy_mev_per_atom": 60}

# 12
{"formula": "Cr3CuRe", "functional": "SCAN", "state": "single point on PBEsol structure", "lattice_angstrom": [[4.566, 0.000, 0.000], [0.000, 4.566, 0.000], [0.000, 0.000, 4.566]], "species": ["Cr", "Cr", "Cr", "Cu", "Re"], "fractional_positions": [[0.000, 0.000, 0.500], [0.000, 0.500, 0.000], [0.500, 0.000, 0.000], [0.500, 0.500, 0.500], [0.000, 0.000, 0.000]], "spacegroup": "Pm-3m", "e_form_mev_per_atom": 1369}

Record-wise DFT total energy values, in eV/atom: -16.06; -40.44; -19.50; -12.64; -20.86; -23.39; -27.90; -13.33; -42.86; -11.60; -33.08; -26.92